Entry 1:
SrMnBi2O4: relaxed, PBE+U.

a = 3.4389 Å, b = 6.5975 Å, c = 12.9758 Å
α = 90.00°, β = 90.00°, γ = 105.11°
Each line ends with the local moment (μB).
Sites, in units of the cell vectors:
Sr: 0.0315 0.0630 0.7500  0.01
Sr: 0.9685 0.9370 0.2500  0.01
Mn: 0.7683 0.5367 0.7500  4.56
Mn: 0.2317 0.4633 0.2500  4.56
Bi: 0.3643 0.7285 0.5140  0.00
Bi: 0.6357 0.2715 0.0140  0.00
Bi: 0.6357 0.2715 0.4860  0.00
Bi: 0.3643 0.7285 0.9860  0.00
O: 0.3616 0.7232 0.1498  0.02
O: 0.6384 0.2768 0.6498  0.02
O: 0.6384 0.2768 0.8502  0.02
O: 0.3616 0.7232 0.3502  0.02
O: 0.0000 0.0000 0.5000  0.00
O: 0.0000 0.0000 0.0000  0.00
O: 0.3669 0.7337 0.7500  0.04
O: 0.6331 0.2663 0.2500  0.04

The value obtained for the calculated volume is 17.8 Å³ per atom. For the total energy, the calculation gives -0.2216 Ha/atom. Its crystal system is orthorhombic. As for the total magnetization: 9.83 μB per cell.

Entry 2:
TaMnBiO6: relaxed, PBE+U.

a = 4.8709 Å, b = 4.8709 Å, c = 9.6604 Å
α = 90.00°, β = 90.00°, γ = 90.00°
Each line ends with the local moment (μB).
Sites, in units of the cell vectors:
Ta: 0.5000 0.5000 0.8277  0.04
Ta: 0.0000 0.0000 0.3277  0.04
Mn: 0.5000 0.5000 0.1666  3.40
Mn: 0.0000 0.0000 0.6666  3.40
Bi: 0.5000 0.5000 0.4945  -0.02
Bi: 0.0000 0.0000 0.9945  -0.02
O: 0.1690 0.8310 0.5023  -0.12
O: 0.8310 0.1690 0.5023  -0.12
O: 0.3310 0.3310 0.0023  -0.12
O: 0.6690 0.6690 0.0023  -0.12
O: 0.2144 0.7856 0.1920  -0.06
O: 0.7856 0.2144 0.1920  -0.06
O: 0.2856 0.2856 0.6920  -0.06
O: 0.7144 0.7144 0.6920  -0.06
O: 0.7927 0.2073 0.8113  -0.05
O: 0.2073 0.7927 0.8113  -0.05
O: 0.7073 0.7073 0.3113  -0.05
O: 0.2927 0.2927 0.3113  -0.05

The value obtained for the calculated volume is 12.7 Å³ per atom. For the total energy, the calculation gives -0.2834 Ha/atom. Its crystal system is tetragonal. As for the total magnetization: 6.01 μB per cell.